# 1
VASP calculation (PBE-GGA) on a relaxed Y2MgTe crystal.

POSCAR file:
```
Y2MgTe
1.0
3.8375 0.0000 0.0000
0.0000 3.8375 0.0000
0.0000 0.0000 7.6621
Y Mg Te
2 1 1
Direct
0.5000 0.5000 0.2694
0.0000 0.0000 0.9766
0.0000 0.0000 0.5220
0.5000 0.5000 0.7320
```

Results
- Energy above the most stable polymorph in this dataset: 145 meV/atom
- Symmetry: P4mm (99)

# 2
VASP calculation (PBE-GGA) on a relaxed NiC2 crystal.

POSCAR file:
```
NiC2
1.0
-3.3635 -3.1903 -0.7400
-2.4555 -2.6380 -3.0083
-1.2419 -4.2594 -1.5342
Ni C
1 2
Direct
0.0000 0.0000 0.0000
0.1597 0.1597 0.1597
0.8403 0.8403 0.8403
```

Results
- Energy above the most stable polymorph in this dataset: 4 meV/atom
- Symmetry: R-3m (166)

# 3
VASP calculation (PBE-GGA) on a relaxed MgTc2Ni crystal.

POSCAR file:
```
MgTc2Ni
1.0
9.0649 -0.0178 -0.0104
8.6571 2.6884 -0.0104
8.6571 1.3046 2.3507
Ni Tc Mg
1 2 1
Direct
0.7500 0.7500 0.7500
0.0064 0.0064 0.0064
0.4936 0.4936 0.4936
0.2500 0.2500 0.2500
```

Results
- Final energy: -27.00 eV per formula unit
- Symmetry: R-3m (166)

# 4
VASP calculation (PBE-GGA) on a relaxed ScTePb2 crystal.

POSCAR file:
```
ScTePb2
1.0
4.6119 -0.0042 -0.0101
-2.0987 5.9935 0.0011
0.4146 1.7629 4.2405
Sc Te Pb
1 1 2
Direct
0.0000 0.5000 0.5000
0.5000 0.5000 0.0000
0.0000 0.0000 0.0000
0.5000 0.0000 0.5000
```

Results
- Final energy: -18.01 eV per formula unit
- Symmetry: Fmmm (69)

# 5
VASP calculation (PBE-GGA) on a relaxed TiAlCo3 crystal.

POSCAR file:
```
TiAlCo3
1.0
-3.0414 -2.8271 -0.7412
1.8648 -2.7008 2.6496
-2.2505 1.5828 3.1972
Al Ti Co
1 1 3
Direct
0.5000 0.5000 0.5000
0.0000 0.0000 0.0000
0.0000 0.0000 0.5000
0.5000 0.0000 0.0000
0.0000 0.5000 0.0000
```

Results
- Energy above the most stable polymorph in this dataset: 202 meV/atom
- Symmetry: Pm-3m (221)

# 6
VASP calculation (PBE-GGA) on a relaxed LiRu2RhN crystal.

POSCAR file:
```
LiRu2RhN
1.0
3.9341 0.0000 0.0000
0.0000 3.9341 0.0000
0.0000 0.0000 3.9814
Rh N Ru Li
1 1 2 1
Direct
0.5000 0.5000 0.5000
0.0000 0.0000 0.0000
0.0000 0.5000 0.0000
0.5000 0.0000 0.0000
0.0000 0.0000 0.5000
```

Results
- Final energy: -35.83 eV per formula unit
- Symmetry: P4/mmm (123)

# 7
VASP calculation (PBE-GGA) on a relaxed CeTcGe crystal.

POSCAR file:
```
CeTcGe
1.0
-2.9722 0.8385 -1.0501
0.4888 -1.6998 -2.7407
-0.8327 -3.9685 4.2538
Ge Ce Tc
1 1 1
Direct
0.3170 0.3170 0.6341
0.6082 0.6082 0.2164
0.9248 0.9248 0.8495
```

Results
- Energy above the most stable polymorph in this dataset: 202 meV/atom
- Symmetry: I4mm (107)

# 8
VASP calculation (PBE-GGA) on a relaxed TiTe2NF crystal.

POSCAR file:
```
TiTe2NF
1.0
5.4095 0.0000 0.0000
0.0000 5.4095 0.0000
0.0000 0.0000 3.7045
Te N Ti F
2 1 1 1
Direct
0.5000 0.0000 0.0000
0.0000 0.5000 0.0000
0.0000 0.0000 0.5000
0.0000 0.0000 0.0000
0.5000 0.5000 0.5000
```

Results
- Energy above the most stable polymorph in this dataset: 0 meV/atom
- Symmetry: P4/mmm (123)